[1]
This record from Alexandria describes a crystal of Nb2PbCl relaxed with PBEsol. The functional is SCAN.

```
data_Nb2PbCl
_chemical_formula_sum 'Nb8 Pb4 Cl4'
_space_group_name_H-M_alt 'F m -3 m'
_space_group_IT_number 225
_space_group_name_Hall '-F 4 2 3'
_cell_length_a 6.678
_cell_length_b 6.678
_cell_length_c 6.678
_cell_angle_alpha 90.00
_cell_angle_beta 90.00
_cell_angle_gamma 90.00
loop_
_atom_site_label
_atom_site_type_symbol
_atom_site_fract_x
_atom_site_fract_y
_atom_site_fract_z
_atom_site_occupancy
Nb1 Nb 0.250 0.250 0.250 1
Pb1 Pb 0.000 0.000 0.000 1
Cl1 Cl 0.000 0.000 0.500 1
```

Properties
Theoretical density ... 9555 kg/m3
N(E_F) ... 13.87 states/eV per cell
Final energy ... -37.21 eV/atom

[2]
This record from Alexandria describes a crystal of Nb3PbCl relaxed with PBEsol. The functional is SCAN.

```
data_Nb3PbCl
_chemical_formula_sum 'Nb3 Pb1 Cl1'
_space_group_name_H-M_alt 'P m -3 m'
_space_group_IT_number 221
_space_group_name_Hall '-P 4 2 3'
_cell_length_a 4.568
_cell_length_b 4.568
_cell_length_c 4.568
_cell_angle_alpha 90.00
_cell_angle_beta 90.00
_cell_angle_gamma 90.00
loop_
_atom_site_label
_atom_site_type_symbol
_atom_site_fract_x
_atom_site_fract_y
_atom_site_fract_z
_atom_site_occupancy
Nb1 Nb 0.000 0.000 0.500 1
Pb1 Pb 0.500 0.500 0.500 1
Cl1 Cl 0.000 0.000 0.000 1
```

Properties
Theoretical density ... 9084 kg/m3
N(E_F) ... 3.02 states/eV per cell
Final energy ... -36.11 eV/atom

[3]
This record from Alexandria describes a crystal of Nb2RePdCl relaxed with PBEsol. The functional is SCAN.

```
data_Nb2RePdCl
_chemical_formula_sum 'Nb2 Re1 Pd1 Cl1'
_space_group_name_H-M_alt 'P 4/m m m'
_space_group_IT_number 123
_space_group_name_Hall '-P 4 2'
_cell_length_a 4.482
_cell_length_b 4.482
_cell_length_c 4.259
_cell_angle_alpha 90.00
_cell_angle_beta 90.00
_cell_angle_gamma 90.00
loop_
_atom_site_label
_atom_site_type_symbol
_atom_site_fract_x
_atom_site_fract_y
_atom_site_fract_z
_atom_site_occupancy
Nb1 Nb 0.000 0.500 0.000 1
Re1 Re 0.000 0.000 0.500 1
Pd1 Pd 0.500 0.500 0.500 1
Cl1 Cl 0.500 0.500 0.000 1
```

Properties
Theoretical density ... 9975 kg/m3
N(E_F) ... 2.94 states/eV per cell
Final energy ... -34.67 eV/atom

[4]
This record from Alexandria describes a crystal of SrNbPd2Cl relaxed with PBEsol. The functional is SCAN.

```
data_SrNbPd2Cl
_chemical_formula_sum 'Sr1 Nb1 Pd2 Cl1'
_space_group_name_H-M_alt 'P 4/m m m'
_space_group_IT_number 123
_space_group_name_Hall '-P 4 2'
_cell_length_a 4.675
_cell_length_b 4.675
_cell_length_c 6.653
_cell_angle_alpha 90.00
_cell_angle_beta 90.00
_cell_angle_gamma 90.00
loop_
_atom_site_label
_atom_site_type_symbol
_atom_site_fract_x
_atom_site_fract_y
_atom_site_fract_z
_atom_site_occupancy
Sr1 Sr 0.000 0.000 0.000 1
Nb1 Nb 0.000 0.000 0.500 1
Pd1 Pd 0.000 0.500 0.500 1
Cl1 Cl 0.500 0.500 0.000 1
```

Properties
Theoretical density ... 4898 kg/m3
N(E_F) ... 3.69 states/eV per cell
Final energy ... -25.50 eV/atom

[5]
This record from Alexandria describes a crystal of NbPtSCl2 relaxed with PBEsol. The functional is SCAN.

```
data_NbPtSCl2
_chemical_formula_sum 'Nb1 Pt1 S1 Cl2'
_space_group_name_H-M_alt 'P 4/m m m'
_space_group_IT_number 123
_space_group_name_Hall '-P 4 2'
_cell_length_a 4.664
_cell_length_b 4.664
_cell_length_c 4.789
_cell_angle_alpha 90.00
_cell_angle_beta 90.00
_cell_angle_gamma 90.00
loop_
_atom_site_label
_atom_site_type_symbol
_atom_site_fract_x
_atom_site_fract_y
_atom_site_fract_z
_atom_site_occupancy
Nb1 Nb 0.000 0.000 0.000 1
Pt1 Pt 0.500 0.500 0.500 1
S1 S 0.500 0.500 0.000 1
Cl1 Cl 0.000 0.500 0.500 1
```

Properties
Theoretical density ... 6231 kg/m3
N(E_F) ... 0.58 states/eV per cell
Final energy ... -25.45 eV/atom

[6]
This record from Alexandria describes a crystal of Rb2Nb3Cl9 relaxed with PBEsol. The functional is SCAN.

```
data_Rb2Nb3Cl9
_chemical_formula_sum 'Rb8 Nb12 Cl36'
_space_group_name_H-M_alt 'C 1 2/m 1'
_space_group_IT_number 12
_cell_length_a 10.396
_cell_length_b 16.857
_cell_length_c 9.696
_cell_angle_alpha 90.00
_cell_angle_beta 116.16
_cell_angle_gamma 90.00
loop_
_space_group_symop_operation_xyz
'x,y,z'
'-x,-y,-z'
'-x,y,-z'
'x,-y,z'
'x+1/2,y+1/2,z'
'-x+1/2,-y+1/2,-z'
'-x+1/2,y+1/2,-z'
'x+1/2,-y+1/2,z'
loop_
_atom_site_label
_atom_site_type_symbol
_atom_site_fract_x
_atom_site_fract_y
_atom_site_fract_z
_atom_site_occupancy
Rb1 Rb 0.106 0.160 0.319 1
Nb1 Nb 0.114 0.500 0.871 1
Nb2 Nb 0.134 0.414 0.141 1
Cl1 Cl 0.000 0.296 0.000 1
Cl2 Cl 0.023 0.398 0.316 1
Cl3 Cl 0.183 0.000 0.668 1
Cl4 Cl 0.198 0.195 0.679 1
Cl5 Cl 0.209 0.103 0.986 1
Cl6 Cl 0.244 0.000 0.287 1
```

Properties
Theoretical density ... 3348 kg/m3
Final energy ... -16.87 eV/atom

[7]
This record from Alexandria describes a crystal of RbNbSCl2 relaxed with PBEsol. The functional is SCAN.

```
data_RbNbSCl2
_chemical_formula_sum 'Rb1 Nb1 S1 Cl2'
_space_group_name_H-M_alt 'P 4/m m m'
_space_group_IT_number 123
_space_group_name_Hall '-P 4 2'
_cell_length_a 5.500
_cell_length_b 5.500
_cell_length_c 5.289
_cell_angle_alpha 90.00
_cell_angle_beta 90.00
_cell_angle_gamma 90.00
loop_
_atom_site_label
_atom_site_type_symbol
_atom_site_fract_x
_atom_site_fract_y
_atom_site_fract_z
_atom_site_occupancy
Rb1 Rb 0.000 0.000 0.000 1
Nb1 Nb 0.500 0.500 0.500 1
S1 S 0.000 0.000 0.500 1
Cl1 Cl 0.000 0.500 0.000 1
```

Properties
Theoretical density ... 2920 kg/m3
N(E_F) ... 5.88 states/eV per cell
Final energy ... -15.25 eV/atom

[8]
This record from Alexandria describes a crystal of Nb3RuCl relaxed with PBEsol. The functional is SCAN.

```
data_Nb3RuCl
_chemical_formula_sum 'Nb3 Ru1 Cl1'
_space_group_name_H-M_alt 'P m -3 m'
_space_group_IT_number 221
_space_group_name_Hall '-P 4 2 3'
_cell_length_a 4.453
_cell_length_b 4.453
_cell_length_c 4.453
_cell_angle_alpha 90.00
_cell_angle_beta 90.00
_cell_angle_gamma 90.00
loop_
_atom_site_label
_atom_site_type_symbol
_atom_site_fract_x
_atom_site_fract_y
_atom_site_fract_z
_atom_site_occupancy
Nb1 Nb 0.000 0.000 0.500 1
Ru1 Ru 0.500 0.500 0.500 1
Cl1 Cl 0.000 0.000 0.000 1
```

Properties
Theoretical density ... 7809 kg/m3
N(E_F) ... 6.75 states/eV per cell
Final energy ... -27.58 eV/atom

[9]
This record from Alexandria describes a crystal of ScNbSCl2 relaxed with PBEsol. The functional is SCAN.

```
data_ScNbSCl2
_chemical_formula_sum 'Sc1 Nb1 S1 Cl2'
_space_group_name_H-M_alt 'P 4/m m m'
_space_group_IT_number 123
_space_group_name_Hall '-P 4 2'
_cell_length_a 4.778
_cell_length_b 4.778
_cell_length_c 4.812
_cell_angle_alpha 90.00
_cell_angle_beta 90.00
_cell_angle_gamma 90.00
loop_
_atom_site_label
_atom_site_type_symbol
_atom_site_fract_x
_atom_site_fract_y
_atom_site_fract_z
_atom_site_occupancy
Sc1 Sc 0.000 0.000 0.000 1
Nb1 Nb 0.500 0.500 0.500 1
S1 S 0.500 0.500 0.000 1
Cl1 Cl 0.000 0.500 0.500 1
```

Properties
Theoretical density ... 3640 kg/m3
N(E_F) ... 3.70 states/eV per cell
Final energy ... -15.19 eV/atom

[10]
This record from Alexandria describes a crystal of Nb2Tl5S4Cl9 relaxed with PBEsol. The functional is SCAN.

```
data_Nb2Tl5S4Cl9
_chemical_formula_sum 'Nb4 Tl10 S8 Cl18'
_space_group_name_H-M_alt 'I m m m'
_space_group_IT_number 71
_space_group_name_Hall '-I 2 2'
_cell_length_a 6.892
_cell_length_b 9.389
_cell_length_c 15.515
_cell_angle_alpha 90.00
_cell_angle_beta 90.00
_cell_angle_gamma 90.00
loop_
_atom_site_label
_atom_site_type_symbol
_atom_site_fract_x
_atom_site_fract_y
_atom_site_fract_z
_atom_site_occupancy
Nb1 Nb 0.000 0.000 0.093 1
Tl1 Tl 0.000 0.218 0.334 1
Tl2 Tl 0.000 0.500 0.000 1
S1 S 0.243 0.393 0.500 1
Cl1 Cl 0.000 0.000 0.500 1
Cl2 Cl 0.000 0.265 0.138 1
Cl3 Cl 0.247 0.000 0.213 1
```

Properties
Theoretical density ... 5475 kg/m3
N(E_F) ... 0.00 states/eV per cell
Final energy ... -28.05 eV/atom

[11]
This record from Alexandria describes a crystal of NbZnS2Cl relaxed with PBEsol. The functional is SCAN.

```
data_NbZnS2Cl
_chemical_formula_sum 'Nb1 Zn1 S2 Cl1'
_space_group_name_H-M_alt 'P 4/m m m'
_space_group_IT_number 123
_space_group_name_Hall '-P 4 2'
_cell_length_a 4.764
_cell_length_b 4.764
_cell_length_c 4.851
_cell_angle_alpha 90.00
_cell_angle_beta 90.00
_cell_angle_gamma 90.00
loop_
_atom_site_label
_atom_site_type_symbol
_atom_site_fract_x
_atom_site_fract_y
_atom_site_fract_z
_atom_site_occupancy
Nb1 Nb 0.000 0.000 0.000 1
Zn1 Zn 0.500 0.500 0.500 1
S1 S 0.000 0.500 0.000 1
Cl1 Cl 0.000 0.000 0.500 1
```

Properties
Theoretical density ... 3889 kg/m3
N(E_F) ... 3.09 states/eV per cell
Final energy ... -15.16 eV/atom

[12]
This record from Alexandria describes a crystal of NbZnSCl2 relaxed with PBEsol. The functional is SCAN.

```
data_NbZnSCl2
_chemical_formula_sum 'Nb1 Zn1 S1 Cl2'
_space_group_name_H-M_alt 'P 4/m m m'
_space_group_IT_number 123
_space_group_name_Hall '-P 4 2'
_cell_length_a 4.862
_cell_length_b 4.862
_cell_length_c 4.751
_cell_angle_alpha 90.00
_cell_angle_beta 90.00
_cell_angle_gamma 90.00
loop_
_atom_site_label
_atom_site_type_symbol
_atom_site_fract_x
_atom_site_fract_y
_atom_site_fract_z
_atom_site_occupancy
Nb1 Nb 0.000 0.000 0.000 1
Zn1 Zn 0.500 0.500 0.500 1
S1 S 0.000 0.000 0.500 1
Cl1 Cl 0.000 0.500 0.000 1
```

Properties
Theoretical density ... 3864 kg/m3
N(E_F) ... 2.43 states/eV per cell
Final energy ... -14.97 eV/atom

[13]
This record from Alexandria describes a crystal of Nb2SeCl relaxed with PBEsol. The functional is SCAN.

```
data_Nb2SeCl
_chemical_formula_sum 'Nb8 Se4 Cl4'
_space_group_name_H-M_alt 'I -4 2 d'
_space_group_IT_number 122
_space_group_name_Hall 'I -4 2bw'
_cell_length_a 6.876
_cell_length_b 6.876
_cell_length_c 6.122
_cell_angle_alpha 90.00
_cell_angle_beta 90.00
_cell_angle_gamma 90.00
loop_
_atom_site_label
_atom_site_type_symbol
_atom_site_fract_x
_atom_site_fract_y
_atom_site_fract_z
_atom_site_occupancy
Nb1 Nb 0.223 0.250 0.125 1
Se1 Se 0.000 0.000 0.500 1
Cl1 Cl 0.000 0.000 0.000 1
```

Properties
Theoretical density ... 6889 kg/m3
N(E_F) ... 17.89 states/eV per cell
Final energy ... -23.32 eV/atom

[14]
This record from Alexandria describes a crystal of Nb2SeCl relaxed with PBEsol. The functional is SCAN.

```
data_Nb2SeCl
_chemical_formula_sum 'Nb8 Se4 Cl4'
_space_group_name_H-M_alt 'F m -3 m'
_space_group_IT_number 225
_space_group_name_Hall '-F 4 2 3'
_cell_length_a 6.339
_cell_length_b 6.339
_cell_length_c 6.339
_cell_angle_alpha 90.00
_cell_angle_beta 90.00
_cell_angle_gamma 90.00
loop_
_atom_site_label
_atom_site_type_symbol
_atom_site_fract_x
_atom_site_fract_y
_atom_site_fract_z
_atom_site_occupancy
Nb1 Nb 0.250 0.250 0.250 1
Se1 Se 0.000 0.000 0.000 1
Cl1 Cl 0.000 0.000 0.500 1
```

Properties
Theoretical density ... 7829 kg/m3
N(E_F) ... 10.40 states/eV per cell
Final energy ... -23.66 eV/atom

[15]
This record from Alexandria describes a crystal of Nb3Se5Cl7 relaxed with PBEsol. The functional is SCAN.

```
data_Nb3Se5Cl7
_chemical_formula_sum 'Nb6 Se10 Cl14'
_space_group_name_H-M_alt 'P 1 21/m 1'
_space_group_IT_number 11
_cell_length_a 7.868
_cell_length_b 12.564
_cell_length_c 8.219
_cell_angle_alpha 90.00
_cell_angle_beta 109.48
_cell_angle_gamma 90.00
loop_
_space_group_symop_operation_xyz
'x,y,z'
'-x,-y,-z'
'-x,y+1/2,-z'
'x,-y+1/2,z'
loop_
_atom_site_label
_atom_site_type_symbol
_atom_site_fract_x
_atom_site_fract_y
_atom_site_fract_z
_atom_site_occupancy
Nb1 Nb 0.025 0.111 0.061 1
Nb2 Nb 0.398 0.250 0.489 1
Se1 Se 0.181 0.027 0.853 1
Se2 Se 0.284 0.532 0.136 1
Se3 Se 0.423 0.250 0.774 1
Cl1 Cl 0.055 0.750 0.180 1
Cl2 Cl 0.149 0.116 0.399 1
Cl3 Cl 0.168 0.750 0.858 1
Cl4 Cl 0.287 0.250 0.136 1
Cl5 Cl 0.400 0.617 0.522 1
```

Properties
Theoretical density ... 3997 kg/m3
Final energy ... -18.16 eV/atom

[16]
This record from Alexandria describes a crystal of Nb3SeCl relaxed with PBEsol. The functional is SCAN.

```
data_Nb3SeCl
_chemical_formula_sum 'Nb3 Se1 Cl1'
_space_group_name_H-M_alt 'P m -3 m'
_space_group_IT_number 221
_space_group_name_Hall '-P 4 2 3'
_cell_length_a 4.545
_cell_length_b 4.545
_cell_length_c 4.545
_cell_angle_alpha 90.00
_cell_angle_beta 90.00
_cell_angle_gamma 90.00
loop_
_atom_site_label
_atom_site_type_symbol
_atom_site_fract_x
_atom_site_fract_y
_atom_site_fract_z
_atom_site_occupancy
Nb1 Nb 0.000 0.000 0.500 1
Se1 Se 0.500 0.500 0.500 1
Cl1 Cl 0.000 0.000 0.000 1
```

Properties
Theoretical density ... 6952 kg/m3
N(E_F) ... 5.27 states/eV per cell
Final energy ... -24.76 eV/atom

[17]
This record from Alexandria describes a crystal of NbSe2Cl2 relaxed with PBEsol. The functional is SCAN.

```
data_NbSe2Cl2
_chemical_formula_sum 'Nb2 Se4 Cl4'
_space_group_name_H-M_alt 'P -1'
_space_group_IT_number 2
_cell_length_a 6.283
_cell_length_b 6.498
_cell_length_c 7.535
_cell_angle_alpha 66.20
_cell_angle_beta 69.23
_cell_angle_gamma 61.19
loop_
_space_group_symop_operation_xyz
'x,y,z'
'-x,-y,-z'
loop_
_atom_site_label
_atom_site_type_symbol
_atom_site_fract_x
_atom_site_fract_y
_atom_site_fract_z
_atom_site_occupancy
Nb1 Nb 0.129 0.240 0.000 1
Se1 Se 0.075 0.613 0.678 1
Se2 Se 0.277 0.452 0.136 1
Cl1 Cl 0.151 0.994 0.790 1
Cl2 Cl 0.429 0.848 0.210 1
```

Properties
Theoretical density ... 4422 kg/m3
Final energy ... -18.90 eV/atom

[18]
This record from Alexandria describes a crystal of NbSiCl2 relaxed with PBEsol. The functional is SCAN.

```
data_NbSiCl2
_chemical_formula_sum 'Nb4 Si4 Cl8'
_space_group_name_H-M_alt 'F m -3 m'
_space_group_IT_number 225
_space_group_name_Hall '-F 4 2 3'
_cell_length_a 6.327
_cell_length_b 6.327
_cell_length_c 6.327
_cell_angle_alpha 90.00
_cell_angle_beta 90.00
_cell_angle_gamma 90.00
loop_
_atom_site_label
_atom_site_type_symbol
_atom_site_fract_x
_atom_site_fract_y
_atom_site_fract_z
_atom_site_occupancy
Nb1 Nb 0.000 0.000 0.000 1
Si1 Si 0.000 0.000 0.500 1
Cl1 Cl 0.250 0.250 0.250 1
```

Properties
Theoretical density ... 5031 kg/m3
N(E_F) ... 7.33 states/eV per cell
Final energy ... -14.39 eV/atom

[19]
This record from Alexandria describes a crystal of NbSi3Cl relaxed with PBEsol. The functional is SCAN.

```
data_NbSi3Cl
_chemical_formula_sum 'Nb1 Si3 Cl1'
_space_group_name_H-M_alt 'P m -3 m'
_space_group_IT_number 221
_space_group_name_Hall '-P 4 2 3'
_cell_length_a 4.866
_cell_length_b 4.866
_cell_length_c 4.866
_cell_angle_alpha 90.00
_cell_angle_beta 90.00
_cell_angle_gamma 90.00
loop_
_atom_site_label
_atom_site_type_symbol
_atom_site_fract_x
_atom_site_fract_y
_atom_site_fract_z
_atom_site_occupancy
Nb1 Nb 0.000 0.000 0.000 1
Si1 Si 0.000 0.000 0.500 1
Cl1 Cl 0.500 0.500 0.500 1
```

Properties
Theoretical density ... 3063 kg/m3
N(E_F) ... 7.85 states/eV per cell
Final energy ... -13.54 eV/atom

[20]
This record from Alexandria describes a crystal of NbSnCl2 relaxed with PBEsol. The functional is SCAN.

```
data_NbSnCl2
_chemical_formula_sum 'Nb4 Sn4 Cl8'
_space_group_name_H-M_alt 'F m -3 m'
_space_group_IT_number 225
_space_group_name_Hall '-F 4 2 3'
_cell_length_a 6.679
_cell_length_b 6.679
_cell_length_c 6.679
_cell_angle_alpha 90.00
_cell_angle_beta 90.00
_cell_angle_gamma 90.00
loop_
_atom_site_label
_atom_site_type_symbol
_atom_site_fract_x
_atom_site_fract_y
_atom_site_fract_z
_atom_site_occupancy
Nb1 Nb 0.000 0.000 0.000 1
Sn1 Sn 0.000 0.000 0.500 1
Cl1 Cl 0.250 0.250 0.250 1
```

Properties
Theoretical density ... 6298 kg/m3
N(E_F) ... 11.93 states/eV per cell
Final energy ... -20.99 eV/atom